i.
{
  "formula": "B5C7",
  "functional": "PBE",
  "state": "optimized geometry",
  "space_group": "Cm (8)",
  "n_ef_per_ev_atom": 0.184,
  "cell": [[3.920, -0.004, -5.467], [-0.579, 2.592, -6.794], [0.409, -0.057, 7.283]],
  "species": ["B", "B", "B", "B", "B", "C", "C", "C", "C", "C", "C", "C"],
  "fractional_positions": [[0.015, 0.332, 0.683], [0.081, 0.119, 0.962], [0.983, 0.974, 0.010], [0.653, 0.985, 0.668], [0.537, 0.836, 0.702], [0.630, 0.281, 0.349], [0.483, 0.165, 0.318], [0.146, 0.787, 0.359], [0.976, 0.674, 0.303], [0.607, 0.630, 0.977], [0.491, 0.513, 0.978], [0.147, 0.455, 0.692]]
}

***

ii.
{
  "formula": "B5C7",
  "functional": "PBE",
  "state": "optimized geometry",
  "space_group": "P3m1 (156)",
  "n_ef_per_ev_atom": 0.289,
  "cell": [[-0.213, 1.077, 2.380], [1.737, -1.917, -0.420], [9.159, 9.010, -3.255]],
  "species": ["B", "B", "B", "B", "B", "C", "C", "C", "C", "C", "C", "C"],
  "fractional_positions": [[0.667, 0.333, 0.818], [0.000, 0.000, 0.890], [0.667, 0.333, 0.682], [0.333, 0.667, 0.530], [0.333, 0.667, 0.171], [0.333, 0.667, 0.672], [0.667, 0.333, 0.335], [0.000, 0.000, 0.377], [0.000, 0.000, 0.492], [0.667, 0.333, 0.223], [0.000, 0.000, 0.010], [0.333, 0.667, 0.049]]
}

***

It is ii that is the least stable of them.

***

i.
{
  "formula": "YBe2Os",
  "functional": "PBE",
  "state": "optimized geometry",
  "space_group": "Cm (8)",
  "n_ef_per_ev_atom": 0.643,
  "cell": [[-3.756, 0.891, 0.084], [-2.529, -2.123, -2.002], [-2.726, -3.392, 3.296]],
  "species": ["Y", "Be", "Be", "Os"],
  "fractional_positions": [[0.249, 0.249, 0.253], [0.061, 0.061, 0.817], [0.743, 0.743, 0.771], [0.447, 0.447, 0.660]]
}

***

ii.
{
  "formula": "YBe2Os",
  "functional": "PBE",
  "state": "optimized geometry",
  "space_group": "I4_1/amd (141)",
  "n_ef_per_ev_atom": 0.590,
  "cell": [[4.193, 0.000, 0.000], [0.000, 4.193, 0.000], [2.097, 2.097, 7.916]],
  "species": ["Y", "Y", "Be", "Be", "Be", "Be", "Os", "Os"],
  "fractional_positions": [[0.500, 0.500, 0.000], [0.250, 0.750, 0.500], [0.875, 0.125, 0.250], [0.875, 0.625, 0.250], [0.375, 0.125, 0.750], [0.875, 0.125, 0.750], [0.000, 0.000, 0.000], [0.750, 0.250, 0.500]]
}

***

It is ii that is the least stable of them.

***

i.
{
  "formula": "BC2",
  "functional": "PBE",
  "state": "optimized geometry",
  "space_group": "Pm (6)",
  "n_ef_per_ev_atom": 0.193,
  "cell": [[2.552, 0.000, 0.000], [0.000, 4.510, -0.098], [0.000, -0.137, 6.621]],
  "species": ["B", "B", "B", "B", "C", "C", "C", "C", "C", "C", "C", "C"],
  "fractional_positions": [[0.500, 0.823, 0.349], [0.500, 0.427, 0.253], [0.500, 0.509, 0.997], [0.000, 0.032, 0.223], [0.500, 0.168, 0.902], [0.000, 0.669, 0.673], [0.000, 0.329, 0.593], [0.000, 0.344, 0.365], [0.000, 0.014, 0.980], [0.000, 0.692, 0.904], [0.500, 0.168, 0.669], [0.500, 0.826, 0.590]]
}

***

ii.
{
  "formula": "BC2",
  "functional": "PBE",
  "state": "optimized geometry",
  "space_group": "Pmm2 (25)",
  "n_ef_per_ev_atom": 0.132,
  "cell": [[-2.388, -0.625, 0.011], [0.932, -3.532, 1.557], [-0.742, 2.961, 7.160]],
  "species": ["B", "B", "B", "B", "C", "C", "C", "C", "C", "C", "C", "C"],
  "fractional_positions": [[0.500, 0.510, 0.172], [0.000, 0.015, 0.000], [0.500, 0.513, 0.500], [0.500, 0.510, 0.828], [0.000, 0.225, 0.176], [0.500, 0.731, 0.000], [0.000, 0.223, 0.500], [0.000, 0.001, 0.336], [0.500, 0.772, 0.337], [0.000, 0.225, 0.824], [0.000, 0.001, 0.664], [0.500, 0.772, 0.663]]
}

***

It is i that is the least stable of them.

***

i.
{
  "formula": "Sc2SiP",
  "functional": "PBE",
  "state": "optimized geometry",
  "space_group": "Cmmm (65)",
  "n_ef_per_ev_atom": 0.780,
  "cell": [[-0.144, 3.107, 0.826], [-2.754, -0.523, -1.581], [-3.240, -1.810, 6.242]],
  "species": ["P", "Sc", "Sc", "Si"],
  "fractional_positions": [[0.500, 0.500, 0.750], [0.000, 0.000, 0.985], [0.000, 0.000, 0.515], [0.500, 0.500, 0.250]]
}

***

ii.
{
  "formula": "Sc2SiP",
  "functional": "PBE",
  "state": "optimized geometry",
  "space_group": "I-42d (122)",
  "n_ef_per_ev_atom": 0.357,
  "cell": [[-5.230, 4.492, -1.568], [-3.480, -5.201, -3.292], [-5.777, -1.083, 0.225]],
  "species": ["Sc", "Sc", "Sc", "Sc", "P", "P", "Si", "Si"],
  "fractional_positions": [[0.638, 0.125, 0.250], [0.112, 0.625, 0.250], [0.375, 0.362, 0.750], [0.875, 0.888, 0.750], [0.000, 0.000, 0.000], [0.750, 0.250, 0.500], [0.500, 0.500, 0.000], [0.250, 0.750, 0.500]]
}

***

It is ii that is the least stable of them.